one) DFT (PBE-GGA) results for Na3RuAu after structural relaxation.

Cell: 5.578 5.578 5.578 Å, 90.00 90.00 90.00°
Last column: magnetic moment on the atom in μB.
Positions (direct):
Ru (0.000, 0.000, 0.000)  1.87
Na (0.000, 0.500, 0.000)  -0.01
Au (0.500, 0.500, 0.500)  0.02
Na (0.000, 0.000, 0.500)  -0.01
Na (0.500, 0.000, 0.000)  -0.01

Values from the calculation:
Crystal system: cubic
D(E_F) in states/eV/f.u.: 10.03
Volume in Å³/cell: 173.55
Total magnetization in μB per cell: 2.000

two) DFT (PBE-GGA) results for Na3RuAu after structural relaxation.

Cell: 5.409 5.409 5.409 Å, 90.00 90.00 90.00°
Last column: magnetic moment on the atom in μB.
Positions (direct):
Na (0.000, 0.000, 0.500)  -0.01
Na (0.000, 0.500, 0.000)  -0.02
Na (0.500, 0.000, 0.000)  -0.02
Ru (0.500, 0.500, 0.500)  2.33
Au (0.000, 0.000, 0.000)  -0.01

Values from the calculation:
Crystal system: cubic
D(E_F) in states/eV/f.u.: 25.65
Volume in Å³/cell: 158.28
Total magnetization in μB per cell: 2.098

The data favor two); the next most stable structure lies 8.8 kJ/mol of atoms above it.

one) DFT (PBE-GGA) results for NaRu3Au after structural relaxation.

Cell: 4.532 4.532 4.532 Å, 90.00 90.00 90.00°
Last column: magnetic moment on the atom in μB.
Positions (direct):
Ru (0.000, 0.000, 0.500)  1.93
Na (0.000, 0.000, 0.000)  0.01
Au (0.500, 0.500, 0.500)  0.07
Ru (0.000, 0.500, 0.000)  1.98
Ru (0.500, 0.000, 0.000)  1.88

Values from the calculation:
Crystal system: cubic
D(E_F) in states/eV/f.u.: 5.21
Volume in Å³/cell: 93.08
Total magnetization in μB per cell: 5.917

two) DFT (PBE-GGA) results for NaRu3Au after structural relaxation.

Cell: 4.967 4.967 4.967 Å, 90.00 90.00 90.00°
Last column: magnetic moment on the atom in μB.
Positions (direct):
Ru (0.500, 0.000, 0.000)  1.37
Au (0.000, 0.000, 0.000)  0.25
Ru (0.000, 0.500, 0.000)  1.89
Na (0.500, 0.500, 0.500)  -0.01
Ru (0.000, 0.000, 0.500)  2.37

Values from the calculation:
Crystal system: cubic
D(E_F) in states/eV/f.u.: 7.49
Volume in Å³/cell: 122.53
Total magnetization in μB per cell: 6.039

The data favor two); the next most stable structure lies 33.8 kJ/mol of atoms above it.

one) DFT (PBE-GGA) results for NaAu3S after structural relaxation.

Cell: 4.920 4.920 4.920 Å, 90.00 90.00 90.00°
Positions (direct):
Au (0.500, 0.000, 0.000)
S (0.500, 0.500, 0.500)
Au (0.000, 0.000, 0.500)
Na (0.000, 0.000, 0.000)
Au (0.000, 0.500, 0.000)

Values from the calculation:
Crystal system: cubic
D(E_F) in states/eV/f.u.: 0.68
Volume in Å³/cell: 119.09
Total magnetization in μB per cell: 0.000

two) DFT (PBE-GGA) results for NaAu3S after structural relaxation.

Cell: 4.944 4.944 4.944 Å, 90.00 90.00 90.00°
Positions (direct):
Au (0.000, 0.000, 0.500)
Na (0.500, 0.500, 0.500)
Au (0.000, 0.500, 0.000)
S (0.000, 0.000, 0.000)
Au (0.500, 0.000, 0.000)

Values from the calculation:
Crystal system: cubic
D(E_F) in states/eV/f.u.: 2.50
Volume in Å³/cell: 120.85
Total magnetization in μB per cell: 0.000

The data favor two); the next most stable structure lies 93.4 kJ/mol of atoms above it.

one) DFT (PBE-GGA) results for NaSiAu2S after structural relaxation.

Cell: 4.795 4.918 4.795 Å, 90.00 90.00 90.00°
Positions (direct):
Au (0.500, 0.000, 0.000)
Si (0.000, 0.000, 0.000)
Au (0.000, 0.000, 0.500)
S (0.000, 0.500, 0.000)
Na (0.500, 0.500, 0.500)

Values from the calculation:
Crystal system: tetragonal
D(E_F) in states/eV/f.u.: 2.56
Volume in Å³/cell: 113.05
Total magnetization in μB per cell: 0.000

two) DFT (PBE-GGA) results for NaSiAu2S after structural relaxation.

Cell: 4.861 5.153 4.861 Å, 90.00 90.00 90.00°
Positions (direct):
S (0.500, 0.500, 0.500)
Na (0.000, 0.000, 0.000)
Au (0.000, 0.000, 0.500)
Si (0.000, 0.500, 0.000)
Au (0.500, 0.000, 0.000)

Values from the calculation:
Crystal system: tetragonal
D(E_F) in states/eV/f.u.: 3.91
Volume in Å³/cell: 121.74
Total magnetization in μB per cell: 0.000

The data favor one); the next most stable structure lies 133.5 kJ/mol of atoms above it.